## VCrO (GGA+U)

Data for an optimized crystal structure of VCrO.

POSCAR file:
```
VCrO
1.0
9.939 0.000 0.000
0.000 1.505 2.764
0.000 -1.505 2.764
V Cr O
2 2 2
Direct
0.232 0.000 0.000
0.768 0.000 0.000
0.000 0.680 0.680
0.500 0.202 0.202
0.358 0.677 0.677
0.642 0.677 0.677
```

Values from the calculation:
raw total energy = -43.8 eV for the cell shown
space group = No. 38